Re4Ru | PBE | optimized geometry

Calculated volume: 14.8 Å³ per atom
E_form: 0.047 eV per atom

Lattice parameters (Å, degrees): 6.153 6.153 3.908 90.00 90.00 90.00
Space group I4/m (No. 87)
One atom of each set of equivalent atoms:
Re  0.103  0.702  0.000 x8
Ru  0.000  0.000  0.500 x2

=====

Tb4Pm2Ho | PBE | optimized geometry

Calculated volume: 32.7 Å³ per atom
E_form: 0.050 eV per atom

Lattice parameters (Å, degrees): 16.902 3.549 8.801 90.00 119.85 90.00
Space group C2/m (No. 12)
One atom of each set of equivalent atoms:
Tb  0.144  0.000  0.345 x4
Tb  0.204  0.000  0.792 x4
Pm  0.070  0.500  0.930 x4
Ho  0.000  0.500  0.500 x2

=====

no.,M_tot (μB per formula unit),offset from the most stable computed form (meV per atom)
1,0.0,0.0
2,0.0,0.0